Entry 1:
# Al3HRh | Alexandria | PBE | optimized geometry
# Crystal system = cubic
# Total DFT energy (no corrections) = -4.577 eV/atom
# Space-group type = No. 221
data_Al3HRh
_cell_length_a 3.932
_cell_length_b 3.932
_cell_length_c 3.932
_cell_angle_alpha 90.00
_cell_angle_beta 90.00
_cell_angle_gamma 90.00
_symmetry_space_group_name_H-M 'P 1'
_symmetry_Int_Tables_number 1
_symmetry_space_group_name_Hall 'P 1'
loop_
_atom_site_label
_atom_site_type_symbol
_atom_site_fract_x
_atom_site_fract_y
_atom_site_fract_z
Al1 Al 0.000 0.000 0.500
Al2 Al 0.000 0.500 0.000
Al3 Al 0.500 0.000 0.000
H1 H 0.000 0.000 0.000
Rh1 Rh 0.500 0.500 0.500

---

Entry 2:
# AlH3Rh | Alexandria | PBE | optimized geometry
# Crystal system = cubic
# Total DFT energy (no corrections) = -3.685 eV/atom
# Space-group type = No. 221
data_AlH3Rh
_cell_length_a 3.431
_cell_length_b 3.431
_cell_length_c 3.431
_cell_angle_alpha 90.00
_cell_angle_beta 90.00
_cell_angle_gamma 90.00
_symmetry_space_group_name_H-M 'P 1'
_symmetry_Int_Tables_number 1
_symmetry_space_group_name_Hall 'P 1'
loop_
_atom_site_label
_atom_site_type_symbol
_atom_site_fract_x
_atom_site_fract_y
_atom_site_fract_z
Al1 Al 0.000 0.000 0.000
H1 H 0.000 0.000 0.500
H2 H 0.000 0.500 0.000
H3 H 0.500 0.000 0.000
Rh1 Rh 0.500 0.500 0.500

---

Entry 3:
# Al2HRh2 | Alexandria | PBE | optimized geometry
# Offset from the most stable computed form = 0 meV per atom
# Crystal system = tetragonal
# Space-group type = No. 127
data_Al2HRh2
_cell_length_a 5.714
_cell_length_b 5.714
_cell_length_c 3.916
_cell_angle_alpha 90.00
_cell_angle_beta 90.00
_cell_angle_gamma 90.00
_symmetry_space_group_name_H-M 'P 1'
_symmetry_Int_Tables_number 1
_symmetry_space_group_name_Hall 'P 1'
loop_
_atom_site_label
_atom_site_type_symbol
_atom_site_fract_x
_atom_site_fract_y
_atom_site_fract_z
Al1 Al 0.156 0.344 0.000
Al2 Al 0.344 0.844 0.000
Al3 Al 0.656 0.156 0.000
Al4 Al 0.844 0.656 0.000
H1 H 0.000 0.000 0.500
H2 H 0.500 0.500 0.500
Rh1 Rh 0.169 0.669 0.500
Rh2 Rh 0.331 0.169 0.500
Rh3 Rh 0.669 0.831 0.500
Rh4 Rh 0.831 0.331 0.500

---

Entry 4:
# AlH2Rh | Alexandria | PBE | optimized geometry
# Offset from the most stable computed form = 435 meV per atom
# Crystal system = cubic
# Space-group type = No. 225
data_AlH2Rh
_cell_length_a 3.686
_cell_length_b 3.686
_cell_length_c 3.686
_cell_angle_alpha 60.00
_cell_angle_beta 60.00
_cell_angle_gamma 60.00
_symmetry_space_group_name_H-M 'P 1'
_symmetry_Int_Tables_number 1
_symmetry_space_group_name_Hall 'P 1'
loop_
_atom_site_label
_atom_site_type_symbol
_atom_site_fract_x
_atom_site_fract_y
_atom_site_fract_z
Al1 Al 0.000 0.000 0.000
H1 H 0.250 0.250 0.250
H2 H 0.750 0.750 0.750
Rh1 Rh 0.500 0.500 0.500

---

Entry 5:
# AlHRh4 | Alexandria | PBE | optimized geometry
# Crystal system = triclinic
# Total DFT energy (no corrections) = -6.221 eV/atom
# Space-group type = No. 1
data_AlHRh4
_cell_length_a 3.926
_cell_length_b 4.016
_cell_length_c 5.311
_cell_angle_alpha 112.21
_cell_angle_beta 90.00
_cell_angle_gamma 90.00
_symmetry_space_group_name_H-M 'P 1'
_symmetry_Int_Tables_number 1
_symmetry_space_group_name_Hall 'P 1'
loop_
_atom_site_label
_atom_site_type_symbol
_atom_site_fract_x
_atom_site_fract_y
_atom_site_fract_z
Al1 Al 0.000 0.000 0.000
H1 H 0.502 0.363 0.721
Rh1 Rh 0.000 0.355 0.711
Rh2 Rh 0.000 0.647 0.293
Rh3 Rh 0.500 0.155 0.309
Rh4 Rh 0.500 0.840 0.680

---

Entry 6:
# AlHRh3 | Alexandria | PBE | optimized geometry
# Offset from the most stable computed form = 0 meV per atom
# Crystal system = cubic
# Space-group type = No. 221
data_AlHRh3
_cell_length_a 3.889
_cell_length_b 3.889
_cell_length_c 3.889
_cell_angle_alpha 90.00
_cell_angle_beta 90.00
_cell_angle_gamma 90.00
_symmetry_space_group_name_H-M 'P 1'
_symmetry_Int_Tables_number 1
_symmetry_space_group_name_Hall 'P 1'
loop_
_atom_site_label
_atom_site_type_symbol
_atom_site_fract_x
_atom_site_fract_y
_atom_site_fract_z
Al1 Al 0.000 0.000 0.000
H1 H 0.500 0.500 0.500
Rh1 Rh 0.000 0.500 0.500
Rh2 Rh 0.500 0.000 0.500
Rh3 Rh 0.500 0.500 0.000

---

Entry 7:
# AlHRh3 | Alexandria | PBE | optimized geometry
# Offset from the most stable computed form = 1703 meV per atom
# Crystal system = cubic
# Space-group type = No. 221
data_AlHRh3
_cell_length_a 4.497
_cell_length_b 4.497
_cell_length_c 4.497
_cell_angle_alpha 90.00
_cell_angle_beta 90.00
_cell_angle_gamma 90.00
_symmetry_space_group_name_H-M 'P 1'
_symmetry_Int_Tables_number 1
_symmetry_space_group_name_Hall 'P 1'
loop_
_atom_site_label
_atom_site_type_symbol
_atom_site_fract_x
_atom_site_fract_y
_atom_site_fract_z
Al1 Al 0.000 0.000 0.000
H1 H 0.500 0.500 0.500
Rh1 Rh 0.000 0.000 0.500
Rh2 Rh 0.000 0.500 0.000
Rh3 Rh 0.500 0.000 0.000

---

Entry 8:
# AlH2Rh | Alexandria | PBE | optimized geometry
# Offset from the most stable computed form = 0 meV per atom
# Crystal system = tetragonal
# Space-group type = No. 122
data_AlH2Rh
_cell_length_a 5.331
_cell_length_b 5.331
_cell_length_c 5.331
_cell_angle_alpha 136.01
_cell_angle_beta 136.01
_cell_angle_gamma 63.96
_symmetry_space_group_name_H-M 'P 1'
_symmetry_Int_Tables_number 1
_symmetry_space_group_name_Hall 'P 1'
loop_
_atom_site_label
_atom_site_type_symbol
_atom_site_fract_x
_atom_site_fract_y
_atom_site_fract_z
Al1 Al 0.000 0.000 0.000
Al2 Al 0.750 0.250 0.500
H1 H 0.143 0.625 0.018
H2 H 0.375 0.393 0.518
H3 H 0.607 0.125 0.982
H4 H 0.875 0.857 0.482
Rh1 Rh 0.250 0.750 0.500
Rh2 Rh 0.500 0.500 0.000